Record 1
Below is a relaxed Pr2Sm4MgSc crystal, with properties calculated at the GGA-PBE level.

Geometry as POSCAR:
```
Pr2Sm4MgSc
1.0
5.0049 0.0000 0.0000
0.0000 4.9097 0.9764
0.0000 2.9404 10.9011
Pr Sm Mg Sc
2 4 1 1
Direct
0.0000 0.0000 0.0000 Pr
0.5000 0.0000 0.5000 Pr
0.0000 0.7530 0.7474 Sm
0.0000 0.2470 0.2526 Sm
0.5000 0.7469 0.2529 Sm
0.5000 0.2531 0.7471 Sm
0.5000 0.5000 0.0000 Mg
0.0000 0.5000 0.5000 Sc
```

Computed properties:
**Energy**: -4.518 eV per atom
**M_tot**: 0.00 μB/cell
**V**: 31.69 Å³ per atom
**Calculated formation energy**: 0.22 eV per formula unit
**Fermi-level density of states**: 12.6 states/eV/f.u.
**Symmetry**: P4/mmm, No. 123


Record 2
Below is a relaxed PrSmMgSc crystal, with properties calculated at the GGA-PBE level.

Geometry as POSCAR:
```
PrSmMgSc
1.0
5.4911 0.0000 0.0000
2.7456 4.7555 0.0000
2.7456 1.5852 4.4835
Pr Sc Mg Sm
1 1 1 1
Direct
0.2500 0.2500 0.2500 Pr
0.0000 0.0000 0.0000 Sc
0.5000 0.5000 0.5000 Mg
0.7500 0.7500 0.7500 Sm
```

Computed properties:
**Energy above the lowest structure with this stoichiometry**: 0.0196 eV/atom
**Energy**: -4.342 eV per atom
**M_tot**: 0.00 μB/cell
**V**: 29.27 Å³ per atom
**Calculated formation energy**: 0.06 eV per formula unit
**Fermi-level density of states**: 4.8 states/eV/f.u.
**Symmetry**: F-43m, No. 216


Record 3
Below is a relaxed PrSmMgSc crystal, with properties calculated at the GGA-PBE level.

Geometry as POSCAR:
```
PrSmMgSc
1.0
3.6993 0.0000 0.0000
0.0000 3.6993 0.0000
0.0000 0.0000 8.6489
Pr Sm Mg Sc
1 1 1 1
Direct
0.0000 0.0000 0.3588 Pr
0.0000 0.0000 0.8547 Sm
0.5000 0.5000 0.6115 Mg
0.5000 0.5000 0.1029 Sc
```

Computed properties:
**Energy above the lowest structure with this stoichiometry**: 0.0000 eV/atom
**Energy**: -4.361 eV per atom
**M_tot**: 0.35 μB/cell
**V**: 29.59 Å³ per atom
**Calculated formation energy**: -0.02 eV per formula unit
**Fermi-level density of states**: 6.4 states/eV/f.u.
**Symmetry**: P4mm, No. 99


Record 4
Below is a relaxed Pr3MgSc3Te8 crystal, with properties calculated at the GGA-PBE level.

Geometry as POSCAR:
```
Pr3MgSc3Te8
1.0
-5.2758 2.3464 -6.3731
7.0225 -4.6548 -1.7253
-6.7054 -3.7207 4.1810
Pr Mg Sc Te
3 1 3 8
Direct
0.0000 0.0000 0.0000 Pr
0.0000 0.5000 0.0000 Pr
0.5000 0.5000 0.0000 Pr
0.0000 0.0000 0.5000 Mg
0.5000 0.0000 0.5000 Sc
0.5000 0.5000 0.5000 Sc
0.0000 0.5000 0.5000 Sc
0.2591 0.5183 0.2774 Te
0.7409 0.4817 0.7226 Te
0.7533 0.5067 0.2715 Te
0.2467 0.4933 0.7285 Te
0.7533 0.0182 0.2715 Te
0.2467 0.9818 0.7285 Te
0.2650 0.0182 0.2715 Te
0.7350 0.9818 0.7285 Te
```

Computed properties:
**Energy**: -5.242 eV per atom
**M_tot**: 0.00 μB/cell
**ΔE_f (raw)**: -1.238 eV per atom
**V**: 30.68 Å³ per atom
**Fermi-level density of states**: 5.3 states/eV/f.u.
**Symmetry**: R-3m, No. 166